1.
6
Lattice="3.766 0.000 0.000 1.877 6.104 0.000 1.874 1.796 6.523" Properties=species:S:1:pos:R:3 comment="FeSnCl4, optimized geometry, DFT PBE" crystal_system=triclinic polymorph_energy_mev_per_atom=0 dft_energy_ev_per_atom=-4.0805 density_g_cm3=3.5 pbc="T T T"
Fe 0.000 0.000 0.000
Sn 3.755 4.582 4.346
Cl 1.874 2.479 4.147
Cl 1.882 1.558 0.383
Cl 5.636 6.260 5.920
Cl 5.642 5.368 2.226


2.
9
Lattice="6.163 0.000 0.000 -3.077 5.370 0.000 -1.433 -1.993 6.764" Properties=species:S:1:pos:R:3 comment="Fe2SnCl6, optimized geometry, DFT PBE" crystal_system=triclinic polymorph_energy_mev_per_atom=20 dft_energy_ev_per_atom=-4.2713 density_g_cm3=3.3 pbc="T T T"
Fe 0.000 0.000 0.000
Fe -0.078 3.220 0.087
Sn -0.191 -0.333 3.474
Cl -2.081 3.417 1.371
Cl -2.618 3.077 5.332
Cl 0.940 1.573 1.502
Cl 0.460 1.514 5.418
Cl 4.097 -0.243 1.350
Cl 3.743 -0.364 5.234


3.
6
Lattice="3.854 0.000 0.000 -0.017 5.806 0.000 -1.914 -1.763 6.650" Properties=species:S:1:pos:R:3 comment="FeSnCl4, optimized geometry, DFT PBE" crystal_system=triclinic polymorph_energy_mev_per_atom=14 dft_energy_ev_per_atom=-4.0663 density_g_cm3=3.5 pbc="T T T"
Fe 0.000 0.000 0.000
Sn 1.934 0.378 3.582
Cl 0.002 1.558 1.962
Cl 0.012 -0.206 5.747
Cl 1.915 4.657 0.994
Cl 1.918 2.936 4.572


4.
9
Lattice="3.316 -5.083 0.000 3.316 5.083 0.000 -2.427 0.000 6.789" Properties=species:S:1:pos:R:3 comment="Fe2SnCl6, optimized geometry, DFT PBE" crystal_system=monoclinic polymorph_energy_mev_per_atom=4 dft_energy_ev_per_atom=-4.2872 density_g_cm3=3.2 pbc="T T T"
Fe 3.316 3.817 0.000
Fe 3.316 -3.817 0.000
Sn 0.649 0.000 3.535
Cl 2.672 3.253 2.211
Cl 1.878 0.000 0.977
Cl 2.093 1.908 5.943
Cl 2.093 -1.908 5.943
Cl 2.672 -3.253 2.211
Cl 4.654 0.000 4.778